A relaxed structure of PrB2Ir3. Source: Alexandria via LeMat-Bulk, functional PBE.

Output
ΔE to the lowest computed polymorph (meV/atom): 335
Mass density (Mg/m³): 14.3
Symmetry: P6/mmm
Formation enthalpy at 0 K (meV/atom): -278
Density of states at the Fermi level (states/eV per atom): 0.683
Crystal system: hexagonal

a b c (Å): 3.636 9.050 9.050
angles (deg): 120.00 90.00 90.00
Positions (direct):
B 0.500 0.813 0.627
B 0.500 0.373 0.187
Ir 0.500 0.500 0.000
B 0.500 0.187 0.813
Ir 0.000 0.000 0.717
Pr 0.000 0.333 0.667
B 0.500 0.627 0.813
B 0.500 0.187 0.373
Ir 0.000 0.717 0.000
Ir 0.500 0.000 0.500
Ir 0.000 0.283 0.283
Ir 0.000 0.717 0.717
B 0.500 0.813 0.187
Ir 0.000 0.000 0.283
Ir 0.500 0.500 0.500
Pr 0.000 0.667 0.333
Ir 0.000 0.283 0.000
Pr 0.500 0.000 0.000

***

A relaxed structure of Dy3GaSi2Pt8. Source: Alexandria via LeMat-Bulk, functional PBE.

Output
Mass density (Mg/m³): 14.2
Symmetry: P-3m1
Density of states at the Fermi level (states/eV per atom): 0.597
Formation energy without anion corrections (eV/atom): -0.9323
Crystal system: trigonal

a b c (Å): 5.450 5.450 9.886
angles (deg): 90.00 90.00 120.00
Positions (direct):
Pt 0.834 0.166 0.713
Pt 0.333 0.667 0.876
Si 0.667 0.333 0.895
Si 0.333 0.667 0.105
Dy 0.333 0.667 0.578
Pt 0.166 0.331 0.287
Pt 0.667 0.333 0.124
Pt 0.331 0.166 0.713
Pt 0.669 0.834 0.287
Dy 0.667 0.333 0.422
Pt 0.166 0.834 0.287
Pt 0.834 0.669 0.713
Dy 0.000 0.000 0.000
Ga 0.000 0.000 0.500

***

A relaxed structure of AuIO2. Source: Alexandria via LeMat-Bulk, functional PBE.

Output
Mass density (Mg/m³): 8.9
Symmetry: I-42d
Density of states at the Fermi level (states/eV per atom): 0.130
Formation energy without anion corrections (eV/atom): 0.3913
Crystal system: tetragonal

a b c (Å): 4.402 4.402 7.517
angles (deg): 72.98 72.98 90.00
Positions (direct):
Au 0.000 0.000 0.000
O 0.375 0.405 0.750
O 0.155 0.625 0.250
O 0.875 0.845 0.750
Au 0.750 0.250 0.500
I 0.500 0.500 0.000
O 0.595 0.125 0.250
I 0.250 0.750 0.500

***

A relaxed structure of MoPBr. Source: Alexandria via LeMat-Bulk, functional PBE.

Output
ΔE to the lowest computed polymorph (meV/atom): 1074
Mass density (Mg/m³): 6.1
Symmetry: F-43m
Density of states at the Fermi level (states/eV per atom): 0.949
Formation energy without anion corrections (eV/atom): 1.0414
Crystal system: cubic

a b c (Å): 4.313 4.313 4.313
angles (deg): 60.00 60.00 60.00
Positions (direct):
Mo 0.500 0.500 0.500
P 0.750 0.750 0.750
Br 0.000 0.000 0.000

***

Raw total energy? In order: -139.2 -89.1 -26.4 -14.8 eV per cell.